Entry from Alexandria via LeMat-Bulk: Cu3BiI after structural relaxation (PBE-GGA). Values from VASP.

Geometry as Quantum ESPRESSO input:
```
&SYSTEM
  ibrav = 0, nat = 5, ntyp = 3
/
ATOMIC_SPECIES
Cu 63.55 Cu.upf
Bi 208.98 Bi.upf
I 126.90 I.upf
CELL_PARAMETERS angstrom
5.1014 0.0000 0.0000
0.0000 5.1014 0.0000
0.0000 0.0000 5.1014
ATOMIC_POSITIONS angstrom
Cu 0.0000 0.0000 2.5507
Cu 0.0000 2.5507 0.0000
Cu 2.5507 0.0000 0.0000
Bi 0.0000 0.0000 0.0000
I 2.5507 2.5507 2.5507
```

Calculated values
* crystal system: cubic
* SG: No. 221
* uncorrected formation energy: 0.6753 eV/atom



Entry from Alexandria via LeMat-Bulk: Cu2BiI5 after structural relaxation (PBE-GGA). Values from VASP.

Geometry as Quantum ESPRESSO input:
```
&SYSTEM
  ibrav = 0, nat = 8, ntyp = 3
/
ATOMIC_SPECIES
Cu 63.55 Cu.upf
Bi 208.98 Bi.upf
I 126.90 I.upf
CELL_PARAMETERS angstrom
6.6065 -4.1241 0.0000
6.6065 4.1241 0.0000
-4.0872 0.0000 6.6934
ATOMIC_POSITIONS angstrom
Cu 6.6065 2.3847 0.0000
Cu 6.6065 -2.3847 0.0000
Bi -0.1122 0.0000 3.3035
I -2.7806 0.0000 5.1181
I 1.8104 0.0000 5.7280
I 7.9998 1.8872 2.1359
I 11.2821 0.0000 0.5804
I 7.9998 -1.8872 2.1359
```

Calculated values
* crystal system: monoclinic
* SG: No. 8
* uncorrected formation energy: -0.2184 eV/atom



Entry from Alexandria via LeMat-Bulk: CuBi2I after structural relaxation (PBE-GGA). Values from VASP.

Geometry as Quantum ESPRESSO input:
```
&SYSTEM
  ibrav = 0, nat = 4, ntyp = 3
/
ATOMIC_SPECIES
Cu 63.55 Cu.upf
Bi 208.98 Bi.upf
I 126.90 I.upf
CELL_PARAMETERS angstrom
0.0000 3.8193 3.8193
3.8193 0.0000 3.8193
3.8193 3.8193 0.0000
ATOMIC_POSITIONS angstrom
Cu 0.0000 0.0000 0.0000
Bi 1.9096 1.9096 1.9096
Bi 5.7289 5.7289 5.7289
I 3.8193 3.8193 3.8193
```

Calculated values
* crystal system: cubic
* SG: No. 225
* uncorrected formation energy: 0.5138 eV/atom



Entry from Alexandria via LeMat-Bulk: CuBiIrI2 after structural relaxation (PBE-GGA). Values from VASP.

Geometry as Quantum ESPRESSO input:
```
&SYSTEM
  ibrav = 0, nat = 5, ntyp = 4
/
ATOMIC_SPECIES
Cu 63.55 Cu.upf
Bi 208.98 Bi.upf
Ir 192.22 Ir.upf
I 126.90 I.upf
CELL_PARAMETERS angstrom
6.2045 0.0000 0.0000
0.0000 6.2045 0.0000
0.0000 0.0000 4.9731
ATOMIC_POSITIONS angstrom
Cu 0.0000 0.0000 0.0000
Bi 0.0000 0.0000 2.4866
Ir 3.1022 3.1022 0.0000
I 0.0000 3.1022 2.4866
I 3.1022 0.0000 2.4866
```

Calculated values
* crystal system: tetragonal
* SG: No. 123
* uncorrected formation energy: 1.4054 eV/atom